Material: RbYTi
Method: DFT, GGA-PBE
State: relaxed

Summary:
Raw total energy in eV per atom: -4.01
Spin magnetization in μB per cell: 2.65
E_form in eV/f.u.: 3.3
V in Å³ per atom: 34.1

abc: 5.9770 5.9770 3.3036
angles: 90.00 90.00 120.00
Space group P-6m2 (No. 187)
Inequivalent atoms, fractional coordinates:
Rb  0.0000  0.0000  0.0000 (multiplicity 1)
Y  0.3333  0.6667  0.5000 (multiplicity 1)
Ti  0.6667  0.3333  0.5000 (multiplicity 1)